# 1
La6In2CoPd | Alexandria via LeMat-Bulk | PBE | optimized geometry; formation enthalpy at 0 K = -0.3357 eV/atom; space group = P-1, No. 2
1.0
7.847 -0.286 -0.112
-0.287 7.842 0.052
-3.865 -3.736 5.352
La Co Pd In
6 1 1 2
Direct
0.198 0.155 0.879
0.238 0.740 0.021
0.296 0.303 0.472
0.762 0.260 0.979
0.802 0.846 0.121
0.704 0.697 0.527
0.000 0.000 0.000
0.500 0.500 0.000
0.743 0.247 0.494
0.257 0.754 0.505

=====

# 2
K3Ce3BeS8 | Alexandria via LeMat-Bulk | PBE | optimized geometry; formation energy from raw total energies = -1.494 eV per atom; space group = C2/m, No. 12
1.0
-3.770 -4.784 -5.869
7.205 -1.787 2.924
-6.581 -1.333 5.314
S Ce Be K
8 3 1 3
Direct
0.738 0.476 0.707
0.702 0.955 0.710
0.298 0.045 0.290
0.747 0.045 0.290
0.262 0.524 0.293
0.175 0.350 0.652
0.253 0.955 0.710
0.825 0.650 0.348
0.500 0.000 0.500
0.000 0.500 0.500
0.500 0.500 0.500
0.000 0.000 0.500
0.000 0.500 0.000
0.500 0.500 0.000
0.000 0.000 0.000

=====

# 3
SnS2O8 | Alexandria via LeMat-Bulk | PBE | optimized geometry; formation energy from raw total energies = -1.236 eV per atom; space group = C2/m, No. 12
1.0
-3.169 2.910 4.785
-0.246 -4.421 1.661
6.248 -0.786 1.323
S O Sn
2 8 1
Direct
0.818 0.343 0.182
0.182 0.657 0.818
0.055 0.232 0.277
0.723 0.232 0.945
0.684 0.250 0.316
0.945 0.768 0.723
0.277 0.768 0.055
0.845 0.667 0.155
0.155 0.333 0.845
0.316 0.750 0.684
0.000 0.000 0.000

=====

# 4
Ce2PuZr | Alexandria via LeMat-Bulk | PBE | optimized geometry; formation enthalpy at 0 K = 0.1110 eV/atom; space group = P4/mmm, No. 123
1.0
3.223 0.000 0.000
0.000 3.223 0.000
0.000 0.000 9.703
Ce Pu Zr
2 1 1
Direct
0.000 0.000 0.745
0.000 0.000 0.255
0.500 0.500 0.500
0.500 0.500 0.000

=====

# 5
RbCa2Ag2 | Alexandria via LeMat-Bulk | PBE | optimized geometry; formation enthalpy at 0 K = -0.0732 eV/atom; space group = P4/mbm, No. 127
1.0
-7.428 -1.291 -4.746
-1.759 -7.331 4.748
-2.102 2.240 2.680
Ag Ca Rb
4 4 2
Direct
0.376 0.876 0.000
0.124 0.376 0.000
0.876 0.624 0.000
0.624 0.124 0.000
0.651 0.849 0.500
0.349 0.151 0.500
0.849 0.349 0.500
0.151 0.651 0.500
0.000 0.000 0.000
0.500 0.500 0.000

=====

# 6
RbCd2Bi | Alexandria via LeMat-Bulk | PBE | optimized geometry; formation enthalpy at 0 K = -0.0998 eV/atom; space group = R-3m, No. 166
1.0
5.346 0.000 0.000
2.673 4.630 0.000
2.673 1.543 6.215
Rb Bi Cd
1 1 2
Direct
0.000 0.000 0.000
0.500 0.500 0.500
0.795 0.795 0.616
0.205 0.205 0.384

=====

# 7
CoW | Alexandria via LeMat-Bulk | PBE | optimized geometry; formation enthalpy at 0 K = 0.7595 eV/atom; space group = P4_2/mnm, No. 136
1.0
-1.050 -1.607 4.505
-3.762 -2.571 -1.794
2.876 -3.746 -0.666
Co W
4 4
Direct
0.180 0.820 0.000
0.680 0.680 0.500
0.820 0.180 0.000
0.320 0.320 0.500
0.194 0.806 0.500
0.306 0.306 0.000
0.694 0.694 0.000
0.806 0.194 0.500

=====

# 8
Pr7Tl2Zn2 | Alexandria via LeMat-Bulk | PBE | optimized geometry; formation enthalpy at 0 K = -0.0331 eV/atom; space group = Cmmm, No. 65
1.0
-5.773 3.732 1.244
-0.348 -2.978 7.321
5.687 3.656 1.758
Pr Zn Tl
7 2 2
Direct
0.000 0.277 0.500
0.500 0.277 0.000
0.000 0.000 0.000
0.500 0.723 0.000
0.500 0.764 0.500
0.000 0.723 0.500
0.500 0.236 0.500
0.716 0.000 0.284
0.284 0.000 0.716
0.184 0.500 0.184
0.816 0.500 0.816

=====

# 9
AcCe2TiO8 | Alexandria via LeMat-Bulk | PBE | optimized geometry; formation energy from raw total energies = -2.984 eV per atom; space group = P-1, No. 2
1.0
-2.433 -0.693 -3.583
3.079 -4.230 -1.220
-4.290 -4.787 3.428
Ce O Ti Ac
2 8 1 1
Direct
0.545 0.531 0.241
0.455 0.469 0.759
0.076 0.745 0.215
0.463 0.265 0.499
0.924 0.255 0.785
0.537 0.735 0.501
0.641 0.769 0.978
0.864 0.217 0.193
0.359 0.231 0.022
0.136 0.783 0.807
0.000 0.000 0.000
0.000 0.000 0.500

=====

# 10
Be2FeCu | Alexandria via LeMat-Bulk | PBE | optimized geometry; formation enthalpy at 0 K = -0.0310 eV/atom; space group = Imm2, No. 44
1.0
-2.871 -3.572 -0.021
0.848 -3.653 2.635
-0.801 4.506 -0.240
Fe Be Cu
1 2 1
Direct
0.759 0.259 0.500
0.244 0.744 0.500
0.011 0.011 0.000
0.486 0.486 0.000

=====

# 11
Nd6Dy2TmTh | Alexandria via LeMat-Bulk | PBE | optimized geometry; formation enthalpy at 0 K = 0.1443 eV/atom; space group = C2/c, No. 15
1.0
9.207 -2.120 -2.201
0.889 8.630 -1.920
0.889 -2.239 8.553
Nd Dy Th Tm
12 4 2 2
Direct
0.311 0.993 0.426
0.883 0.297 0.514
0.689 0.007 0.574
0.058 0.112 0.761
0.617 0.486 0.703
0.811 0.426 0.993
0.942 0.888 0.239
0.189 0.574 0.007
0.442 0.239 0.888
0.558 0.761 0.112
0.383 0.514 0.297
0.117 0.703 0.486
0.449 0.798 0.707
0.051 0.293 0.202
0.949 0.707 0.798
0.551 0.202 0.293
0.250 0.971 0.029
0.750 0.029 0.971
0.750 0.590 0.410
0.250 0.410 0.590

=====

# 12
K2NbAgBi | Alexandria via LeMat-Bulk | PBE | optimized geometry; formation enthalpy at 0 K = 0.8348 eV/atom; space group = P4/mmm, No. 123
1.0
6.753 0.000 0.000
0.000 5.452 0.000
0.000 0.000 6.753
Ag Bi Nb K
1 1 1 2
Direct
0.500 0.500 0.500
0.000 0.500 0.000
0.000 0.000 0.000
0.500 0.000 0.000
0.000 0.000 0.500